1.
CrWAu2: relaxed, GGA-PBEsol.

Calculated values
Excess energy over the best structure of this formula in the dataset = 0.68 eV per formula unit
Energy of formation = 570 meV per atom
Symmetry = F-43m, No. 216

abc: 4.433 4.433 4.433
angles: 60.00 60.00 60.00
Positions (direct):
Au: 0.000 0.000 0.000
Cr: 0.500 0.500 0.500
Au: 0.750 0.750 0.750
W: 0.250 0.250 0.250


2.
CrW2Au: relaxed, GGA-PBEsol.

Calculated values
Excess energy over the best structure of this formula in the dataset = 0.51 eV per formula unit
Energy of formation = 412 meV per atom
Symmetry = P4mm, No. 99

abc: 2.682 2.682 8.386
angles: 90.00 90.00 90.00
Positions (direct):
W: 0.000 0.000 0.984
Au: 0.000 0.000 0.511
Cr: 0.500 0.500 0.755
W: 0.500 0.500 0.250


3.
CrWAu2: relaxed, GGA-PBEsol.

Calculated values
Excess energy over the best structure of this formula in the dataset = 0.02 eV per formula unit
Energy of formation = 406 meV per atom
Symmetry = I-4m2, No. 119

abc: 3.959 3.959 4.775
angles: 114.49 114.49 90.00
Positions (direct):
Au: 0.750 0.250 0.500
Cr: 0.500 0.500 0.000
Au: 0.000 0.000 0.000
W: 0.250 0.750 0.500


4.
Cr2WAu: relaxed, GGA-PBEsol.

Calculated values
Excess energy over the best structure of this formula in the dataset = 0.00 eV per formula unit
Energy of formation = 321 meV per atom
Symmetry = Cmmm, No. 65

abc: 2.633 2.633 8.474
angles: 90.00 90.00 107.70
Positions (direct):
Cr: 0.000 0.000 0.740
W: 0.500 0.500 0.500
Cr: 0.000 0.000 0.260
Au: 0.500 0.500 0.000


5.
CrWAu2: relaxed, GGA-PBEsol.

Calculated values
Excess energy over the best structure of this formula in the dataset = 0.00 eV per formula unit
Energy of formation = 399 meV per atom
Symmetry = I4/mmm, No. 139

abc: 3.799 3.799 4.998
angles: 112.34 112.34 90.00
Positions (direct):
Cr: 0.000 0.000 0.000
W: 0.500 0.500 0.000
Au: 0.250 0.750 0.500
Au: 0.750 0.250 0.500


6.
Y2CrAu: relaxed, GGA-PBEsol.

Calculated values
Excess energy over the best structure of this formula in the dataset = 0.00 eV per formula unit
Energy of formation = -154 meV per atom
Symmetry = Amm2, No. 38

abc: 3.667 4.586 5.685
angles: 90.00 108.82 90.00
Positions (direct):
Au: 0.697 0.000 0.394
Y: 0.977 0.000 0.954
Y: 0.273 0.500 0.547
Cr: 0.552 0.500 0.104


7.
Y4CrAu: relaxed, GGA-PBEsol.

Calculated values
Energy of formation = 671 meV per atom
Symmetry = F-43m, No. 216

abc: 6.017 6.017 6.017
angles: 60.00 60.00 60.00
Positions (direct):
Au: 0.750 0.750 0.750
Cr: 0.000 0.000 0.000
Y: 0.375 0.375 0.875
Y: 0.375 0.875 0.375
Y: 0.375 0.375 0.375
Y: 0.875 0.375 0.375


8.
Y2CrAu: relaxed, GGA-PBEsol.

Calculated values
Excess energy over the best structure of this formula in the dataset = 0.65 eV per formula unit
Energy of formation = 7 meV per atom
Symmetry = P4mm, No. 99

abc: 3.648 3.648 6.929
angles: 90.00 90.00 90.00
Positions (direct):
Au: 0.000 0.000 0.518
Y: 0.500 0.500 0.303
Y: 0.000 0.000 0.950
Cr: 0.500 0.500 0.728


9.
ZnCrAu: relaxed, GGA-PBEsol.

Calculated values
Energy of formation = 504 meV per atom
Symmetry = F-43m, No. 216

abc: 4.243 4.243 4.243
angles: 60.00 60.00 60.00
Positions (direct):
Cr: 0.250 0.250 0.250
Zn: 0.000 0.000 0.000
Au: 0.500 0.500 0.500


10.
Zn2CrAu: relaxed, GGA-PBEsol.

Calculated values
Energy of formation = 120 meV per atom
Symmetry = P4mm, No. 99

abc: 3.120 3.120 6.033
angles: 90.00 90.00 90.00
Positions (direct):
Au: 0.000 0.000 0.495
Zn: 0.500 0.500 0.240
Cr: 0.500 0.500 0.765
Zn: 0.000 0.000 0.001


11.
ZrCr2Au: relaxed, GGA-PBEsol.

Calculated values
Energy of formation = 291 meV per atom
Symmetry = C2/m, No. 12

abc: 3.171 4.682 4.999
angles: 112.12 108.50 90.00
Positions (direct):
Cr: 0.250 0.166 0.500
Au: 0.500 0.000 0.000
Cr: 0.750 0.834 0.500
Zr: 0.000 0.500 0.000


12.
ZrCrAu3: relaxed, GGA-PBEsol.

Calculated values
Energy of formation = 1105 meV per atom
Symmetry = Pm-3m, No. 221

abc: 5.074 5.074 5.074
angles: 90.00 90.00 90.00
Positions (direct):
Au: 0.000 0.500 0.000
Au: 0.000 0.000 0.500
Cr: 0.500 0.500 0.500
Au: 0.500 0.000 0.000
Zr: 0.000 0.000 0.000


13.
ZrCrAu2: relaxed, GGA-PBEsol.

Calculated values
Energy of formation = 196 meV per atom
Symmetry = R3m, No. 160

abc: 2.975 2.975 9.227
angles: 80.72 80.72 60.00
Positions (direct):
Au: 0.001 0.001 0.998
Au: 0.754 0.754 0.739
Zr: 0.247 0.247 0.258
Cr: 0.498 0.498 0.505


14.
Cs2CuAuF6: relaxed, GGA-PBEsol.

Calculated values
Uncorrected formation energy = -1859.3 meV per atom
Symmetry = Fm-3m, No. 225

abc: 6.068 6.068 6.068
angles: 60.00 60.00 60.00
Positions (direct):
Au: 0.000 0.000 0.000
Cs: 0.750 0.750 0.750
F: 0.266 0.734 0.266
F: 0.734 0.734 0.266
F: 0.734 0.266 0.734
F: 0.266 0.266 0.734
F: 0.266 0.734 0.734
F: 0.734 0.266 0.266
Cs: 0.250 0.250 0.250
Cu: 0.500 0.500 0.500


15.
Cs3AuF: relaxed, GGA-PBEsol.

Calculated values
Uncorrected formation energy = -1099.4 meV per atom
Symmetry = Pm-3m, No. 221

abc: 5.731 5.731 5.731
angles: 90.00 90.00 90.00
Positions (direct):
Cs: 0.000 0.500 0.000
Au: 0.500 0.500 0.500
Cs: 0.000 0.000 0.500
F: 0.000 0.000 0.000
Cs: 0.500 0.000 0.000


16.
CsAu2F7: relaxed, GGA-PBEsol.

Calculated values
Uncorrected formation energy = -1473.5 meV per atom
Symmetry = C2/c, No. 15

abc: 7.382 7.776 7.776
angles: 93.76 113.74 66.26
Positions (direct):
Cs: 0.750 0.308 0.308
Au: 0.647 0.082 0.713
F: 0.546 0.333 0.603
F: 0.242 0.485 0.016
F: 0.452 0.822 0.091
F: 0.758 0.515 0.984
F: 0.046 0.397 0.667
Cs: 0.250 0.692 0.692
F: 0.952 0.909 0.178
Au: 0.147 0.287 0.918
F: 0.250 0.187 0.187
F: 0.954 0.603 0.333
F: 0.454 0.667 0.397
F: 0.742 0.984 0.515
Au: 0.853 0.713 0.082
F: 0.258 0.016 0.485
F: 0.548 0.178 0.909
Au: 0.353 0.918 0.287
F: 0.048 0.091 0.822
F: 0.750 0.813 0.813


17.
CsHfAu2F: relaxed, GGA-PBEsol.

Calculated values
Uncorrected formation energy = 873.1 meV per atom
Symmetry = P4/mmm, No. 123

abc: 4.563 5.623 5.623
angles: 90.00 90.00 90.00
Positions (direct):
Hf: 0.500 0.500 0.500
Au: 0.000 0.000 0.500
Au: 0.000 0.500 0.000
Cs: 0.000 0.000 0.000
F: 0.500 0.000 0.000


18.
Cs2NaAuF6: relaxed, GGA-PBEsol.

Calculated values
Uncorrected formation energy = -2102.8 meV per atom
Symmetry = Fm-3m, No. 225

abc: 6.267 6.267 6.267
angles: 60.00 60.00 60.00
Positions (direct):
Cs: 0.750 0.750 0.750
Au: 0.000 0.000 0.000
F: 0.760 0.240 0.240
F: 0.240 0.760 0.240
F: 0.760 0.760 0.240
F: 0.240 0.760 0.760
F: 0.240 0.240 0.760
Cs: 0.250 0.250 0.250
F: 0.760 0.240 0.760
Na: 0.500 0.500 0.500


19.
CsAuO2F: relaxed, GGA-PBEsol.

Calculated values
Uncorrected formation energy = -723.7 meV per atom
Symmetry = P4/mmm, No. 123

abc: 3.956 3.956 5.363
angles: 90.00 90.00 90.00
Positions (direct):
O: 0.500 0.000 0.000
Cs: 0.500 0.500 0.500
F: 0.000 0.000 0.500
Au: 0.000 0.000 0.000
O: 0.000 0.500 0.000


20.
CsSbAuF2: relaxed, GGA-PBEsol.

Calculated values
Uncorrected formation energy = -1381.3 meV per atom
Symmetry = P4/mmm, No. 123

abc: 4.736 4.736 5.192
angles: 90.00 90.00 90.00
Positions (direct):
Sb: 0.000 0.000 0.000
Au: 0.000 0.000 0.500
Cs: 0.500 0.500 0.500
F: 0.500 0.000 0.000
F: 0.000 0.500 0.000


21.
Cs2YAuF: relaxed, GGA-PBEsol.

Calculated values
Uncorrected formation energy = -75.3 meV per atom
Symmetry = P4/mmm, No. 123

abc: 5.216 7.295 7.295
angles: 90.00 90.00 90.00
Positions (direct):
Au: 0.500 0.000 0.000
Cs: 0.000 0.000 0.500
Y: 0.000 0.000 0.000
Cs: 0.000 0.500 0.000
F: 0.500 0.500 0.500


22.
CsFeAu3: relaxed, GGA-PBEsol.

Calculated values
Energy of formation = 372 meV per atom
Symmetry = Pm-3m, No. 221

abc: 4.978 4.978 4.978
angles: 90.00 90.00 90.00
Positions (direct):
Au: 0.000 0.500 0.000
Cs: 0.500 0.500 0.500
Au: 0.000 0.000 0.500
Fe: 0.000 0.000 0.000
Au: 0.500 0.000 0.000


23.
CsGeAu3: relaxed, GGA-PBEsol.

Calculated values
Energy of formation = -54 meV per atom
Symmetry = Pm-3m, No. 221

abc: 5.034 5.034 5.034
angles: 90.00 90.00 90.00
Positions (direct):
Cs: 0.500 0.500 0.500
Au: 0.000 0.000 0.500
Au: 0.500 0.000 0.000
Ge: 0.000 0.000 0.000
Au: 0.000 0.500 0.000


24.
CsH3Au: relaxed, GGA-PBEsol.

Calculated values
Symmetry = Pm-3m, No. 221
Energy = -2.933 eV/atom

abc: 4.045 4.045 4.045
angles: 90.00 90.00 90.00
Positions (direct):
Au: 0.000 0.000 0.000
H: 0.000 0.500 0.000
H: 0.500 0.000 0.000
Cs: 0.500 0.500 0.500
H: 0.000 0.000 0.500


25.
Cs3HAu: relaxed, GGA-PBEsol.

Calculated values
Symmetry = Pm-3m, No. 221
Energy = -2.088 eV/atom

abc: 5.708 5.708 5.708
angles: 90.00 90.00 90.00
Positions (direct):
Cs: 0.500 0.000 0.000
H: 0.000 0.000 0.000
Au: 0.500 0.500 0.500
Cs: 0.000 0.500 0.000
Cs: 0.000 0.000 0.500


26.
CsH2Au: relaxed, GGA-PBEsol.

Calculated values
Excess energy over the best structure of this formula in the dataset = 0.00 eV per formula unit
Symmetry = Fd-3m, No. 227

abc: 5.903 5.903 5.903
angles: 60.00 60.00 60.00
Positions (direct):
H: 0.625 0.625 0.625
H: 0.625 0.125 0.625
Cs: 0.250 0.250 0.250
Cs: 0.000 0.000 0.000
H: 0.625 0.625 0.125
H: 0.125 0.625 0.625
Au: 0.750 0.750 0.750
Au: 0.500 0.500 0.500


27.
CsH2Au: relaxed, GGA-PBEsol.

Calculated values
Excess energy over the best structure of this formula in the dataset = 4.09 eV per formula unit
Symmetry = Fm-3m, No. 225

abc: 4.753 4.753 4.753
angles: 60.00 60.00 60.00
Positions (direct):
H: 0.750 0.750 0.750
H: 0.250 0.250 0.250
Au: 0.500 0.500 0.500
Cs: 0.000 0.000 0.000